# 1
Ta2Ti2Pd7: optimized geometry, GGA-PBE.

Crystal system: monoclinic
SG: C2/m (12)

a b c (Å): 5.4058 7.5107 5.4058
angles (deg): 90.30 118.93 89.70
Closest atoms and distances in Å follow each position.
Positions (direct):
Pd 0.0000 0.0000 0.0000  2 Ta 2.53
Pd 0.0000 0.6844 0.5013  2 Ti 2.71, 2 Ta 2.74-2.76, 5 Pd 2.74-2.84
Pd 0.5013 0.3156 0.0000  2 Ti 2.71, 2 Ta 2.74-2.76, 5 Pd 2.74-2.84
Pd 0.5004 0.2002 0.4996  2 Ta 2.60-2.61, 2 Ti 2.64, 4 Pd 2.83-2.84
Pd 0.0000 0.3156 0.4987  2 Ti 2.71, 2 Ta 2.74-2.76, 5 Pd 2.74-2.84
Pd 0.4987 0.6844 0.0000  2 Ti 2.71, 2 Ta 2.74-2.76, 5 Pd 2.74-2.84
Pd 0.4996 0.7998 0.5004  2 Ta 2.60-2.61, 2 Ti 2.64, 4 Pd 2.83-2.84
Ta 0.2718 0.0014 0.7282  7 Pd 2.53-2.76, 2 Ta 2.78
Ta 0.7282 0.9986 0.2718  7 Pd 2.53-2.76, 2 Ta 2.78
Ti 0.2494 0.5000 0.2494  6 Pd 2.64-2.71, 2 Ti 2.74-2.75
Ti 0.7506 0.5000 0.7506  6 Pd 2.64-2.71, 2 Ti 2.74-2.75

# 2
Ta2Ti5Pd12: optimized geometry, GGA-PBE.

Crystal system: monoclinic
SG: C2/m (12)

a b c (Å): 5.3709 7.9560 8.6902
angles (deg): 108.02 90.00 109.73
Closest atoms and distances in Å follow each position.
Positions (direct):
Pd 0.9119 0.3240 0.5995  4 Ti 2.64-2.66, 5 Pd 2.68-2.90
Pd 0.4383 0.3842 0.1019  3 Ti 2.48-2.71, 2 Pd 2.64-2.73, 1 Ta 2.72
Pd 0.4121 0.3240 0.5995  4 Ti 2.64-2.66, 5 Pd 2.68-2.90
Pd 0.5879 0.6760 0.4005  4 Ti 2.64-2.66, 5 Pd 2.68-2.90
Pd 0.5617 0.6158 0.8981  3 Ti 2.48-2.71, 2 Pd 2.64-2.73, 1 Ta 2.72
Pd 0.5115 0.0229 0.3475  2 Ti 2.38-2.51
Pd 0.0881 0.6760 0.4005  4 Ti 2.64-2.66, 5 Pd 2.68-2.90
Pd 0.9066 0.8132 0.7101  3 Ti 2.64-2.95, 2 Ta 2.80, 4 Pd 2.86-2.88
Pd 0.0934 0.1868 0.2899  3 Ti 2.64-2.95, 2 Ta 2.80, 4 Pd 2.86-2.88
Pd 0.4885 0.9771 0.6525  2 Ti 2.38-2.51
Pd 0.9459 0.3842 0.1019  3 Ti 2.48-2.71, 2 Pd 2.64-2.73, 1 Ta 2.72
Pd 0.0541 0.6158 0.8981  3 Ti 2.48-2.71, 2 Pd 2.64-2.73, 1 Ta 2.72
Ti 0.6789 0.3578 0.3471  7 Pd 2.51-2.65
Ti 0.3211 0.6422 0.6529  7 Pd 2.51-2.65
Ti 0.0000 0.0000 0.5000  6 Pd 2.64-2.66
Ti 0.6433 0.2866 0.8490  5 Pd 2.38-2.64
Ti 0.3567 0.7134 0.1510  5 Pd 2.38-2.64
Ta 0.2543 0.0000 0.0000  2 Ta 2.64-2.73, 4 Pd 2.72-2.80
Ta 0.7457 0.0000 0.0000  2 Ta 2.64-2.73, 4 Pd 2.72-2.80

| no. | formation energy (eV/atom) |
| --- | --- |
| 1 | -0.10 |
| 2 | -0.26 |